Below is a relaxed Mn2V3Mo crystal, with properties calculated at the PBE-GGA level.

Geometry as POSCAR:
```
Mn2V3Mo
1.0
2.942 0.000 0.000
0.000 2.942 0.000
0.000 0.000 8.893
V Mn Mo
3 2 1
direct
0.000 0.000 0.679 V
0.000 0.000 0.321 V
0.000 0.000 0.000 V
0.500 0.500 0.160 Mn
0.500 0.500 0.840 Mn
0.500 0.500 0.500 Mo
```

Properties
formation energy: -0.18 eV per atom
D(E_F): 3.7 states/eV per cell
space-group type: P4/mmm (123)

Below is a relaxed SrCeDy crystal, with properties calculated at the PBE-GGA level.

Geometry as POSCAR:
```
SrCeDy
1.0
5.820 -0.005 -3.798
2.903 5.044 -3.798
-2.878 -1.662 10.011
Ce Dy Sr
2 2 2
direct
0.374 0.374 0.775 Ce
0.379 0.379 0.532 Ce
0.112 0.112 0.885 Dy
0.641 0.641 0.423 Dy
0.883 0.883 0.985 Sr
0.871 0.871 0.322 Sr
```

Properties
formation energy: 0.27 eV per atom
D(E_F): 14.4 states/eV per cell
space-group type: C2/m (12)

Below is a relaxed Na2PbO3 crystal, with properties calculated at the PBE-GGA level.

Geometry as POSCAR:
```
Na2PbO3
1.0
-4.380 -1.203 3.657
4.753 -3.369 0.238
2.013 4.887 2.282
O Na Pb
6 4 2
direct
0.712 0.859 0.984 O
0.288 0.141 0.016 O
0.141 0.288 0.516 O
0.500 0.000 0.500 O
0.859 0.712 0.484 O
0.000 0.500 0.000 O
0.583 0.417 0.750 Na
0.256 0.744 0.750 Na
0.417 0.583 0.250 Na
0.744 0.256 0.250 Na
0.911 0.089 0.750 Pb
0.089 0.911 0.250 Pb
```

Properties
formation energy (no corrections): -748 kJ/mol of formula units
space-group type: C2/c (15)

Below is a relaxed FeH2Rh crystal, with properties calculated at the PBE-GGA level.

Geometry as POSCAR:
```
FeH2Rh
1.0
4.056 0.000 0.000
0.000 4.056 0.000
2.028 2.028 4.021
H Fe Rh
4 2 2
direct
0.875 0.866 0.750 H
0.375 0.384 0.750 H
0.134 0.625 0.250 H
0.616 0.125 0.250 H
0.500 0.500 0.000 Fe
0.250 0.750 0.500 Fe
0.000 0.000 0.000 Rh
0.750 0.250 0.500 Rh
```

Properties
final energy: -5.59 eV per atom
D(E_F): 4.8 states/eV per cell
space-group type: I-42d (122)

Below is a relaxed NaAc2TbSe5 crystal, with properties calculated at the PBE-GGA level.

Geometry as POSCAR:
```
NaAc2TbSe5
1.0
-1.973 3.747 -1.060
0.212 -4.672 -7.919
-11.684 -5.348 2.843
Se Tb Na Ac
10 2 2 4
direct
0.689 0.379 0.858 Se
0.364 0.729 0.998 Se
0.941 0.883 0.580 Se
0.311 0.621 0.358 Se
0.059 0.117 0.080 Se
0.636 0.271 0.498 Se
0.721 0.441 0.159 Se
0.494 0.989 0.771 Se
0.506 0.011 0.271 Se
0.279 0.559 0.659 Se
0.203 0.406 0.008 Tb
0.797 0.594 0.508 Tb
0.468 0.936 0.469 Na
0.532 0.064 0.969 Na
0.103 0.207 0.683 Ac
0.897 0.793 0.183 Ac
0.132 0.265 0.298 Ac
0.868 0.735 0.798 Ac
```

Properties
formation energy (no corrections): -1560 kJ/mol of formula units
space-group type: Cmc2_1 (36)

Below is a relaxed Tl2HgSb crystal, with properties calculated at the PBE-GGA level.

Geometry as POSCAR:
```
Tl2HgSb
1.0
7.255 0.533 1.249
6.280 3.672 1.249
2.632 0.818 5.688
Hg Tl Sb
1 2 1
direct
0.522 0.522 0.395 Hg
0.768 0.768 0.776 Tl
0.978 0.978 0.975 Tl
0.232 0.232 0.353 Sb
```

Properties
energy above the most stable polymorph in this dataset: 33.4 meV per atom
D(E_F): 1.6 states/eV per cell
formation energy (no corrections): 9 kJ/mol of formula units
space-group type: Cm (8)

Below is a relaxed Dy16Er6Th7 crystal, with properties calculated at the PBE-GGA level.

Geometry as POSCAR:
```
Dy16Er6Th7
1.0
9.716 0.000 5.609
3.239 9.160 5.609
0.000 0.000 11.219
Dy Th Er
16 7 6
direct
0.130 0.610 0.130 Dy
0.652 0.652 0.652 Dy
0.870 0.390 0.870 Dy
0.130 0.130 0.610 Dy
0.348 0.348 0.956 Dy
0.652 0.044 0.652 Dy
0.130 0.130 0.130 Dy
0.044 0.652 0.652 Dy
0.956 0.348 0.348 Dy
0.610 0.130 0.130 Dy
0.348 0.348 0.348 Dy
0.390 0.870 0.870 Dy
0.348 0.956 0.348 Dy
0.870 0.870 0.390 Dy
0.652 0.652 0.044 Dy
0.870 0.870 0.870 Dy
0.000 0.500 0.500 Th
0.500 0.000 0.500 Th
0.000 0.000 0.000 Th
0.500 0.000 0.000 Th
0.000 0.500 0.000 Th
0.000 0.000 0.500 Th
0.500 0.500 0.000 Th
0.749 0.749 0.251 Er
0.251 0.749 0.749 Er
0.251 0.251 0.749 Er
0.749 0.251 0.251 Er
0.251 0.749 0.251 Er
0.749 0.251 0.749 Er
```

Properties
formation energy: 0.29 eV per atom
D(E_F): 53.1 states/eV per cell
space-group type: Fm-3m (225)

Below is a relaxed RbLa2IrO8 crystal, with properties calculated at the PBE-GGA level.

Geometry as POSCAR:
```
RbLa2IrO8
1.0
5.441 0.008 -0.012
-0.004 4.269 0.616
0.014 1.075 7.442
O La Rb Ir
8 2 1 1
direct
0.264 0.810 0.893 O
0.736 0.190 0.107 O
0.500 0.830 0.497 O
0.266 0.190 0.106 O
0.999 0.351 0.779 O
0.500 0.170 0.503 O
0.001 0.649 0.221 O
0.734 0.810 0.894 O
0.500 0.628 0.208 La
0.500 0.372 0.792 La
0.000 0.000 0.500 Rb
0.000 0.000 0.000 Ir
```

Properties
D(E_F): 6.5 states/eV per cell
formation energy (no corrections): -2117 kJ/mol of formula units
space-group type: P-1 (2)

Below is a relaxed Pm6Dy4Zr crystal, with properties calculated at the PBE-GGA level.

Geometry as POSCAR:
```
Pm6Dy4Zr
1.0
-5.784 1.067 -6.477
6.099 -2.321 -5.828
-2.569 -8.850 0.837
Pm Zr Dy
12 2 8
direct
0.500 0.500 0.677 Pm
0.352 0.844 0.000 Pm
0.000 0.000 0.823 Pm
0.844 0.648 0.000 Pm
0.656 0.148 0.500 Pm
0.500 0.500 0.323 Pm
0.852 0.656 0.500 Pm
0.648 0.156 0.000 Pm
0.000 0.000 0.177 Pm
0.344 0.852 0.500 Pm
0.156 0.352 0.000 Pm
0.148 0.344 0.500 Pm
0.000 0.000 0.500 Zr
0.500 0.500 0.000 Zr
0.853 0.353 0.250 Dy
0.853 0.353 0.750 Dy
0.353 0.147 0.250 Dy
0.147 0.647 0.750 Dy
0.147 0.647 0.250 Dy
0.353 0.147 0.750 Dy
0.647 0.853 0.750 Dy
0.647 0.853 0.250 Dy
```

Properties
formation energy: 0.16 eV per atom
D(E_F): 35.6 states/eV per cell
space-group type: P4/mnc (128)

Below is a relaxed TaMn2Cl crystal, with properties calculated at the PBE-GGA level.

Geometry as POSCAR:
```
TaMn2Cl
1.0
-2.067 0.638 -4.728
-2.851 -2.022 -3.849
-4.567 1.273 -0.223
Cl Mn Ta
1 2 1
direct
0.750 0.750 0.750 Cl
0.487 0.487 0.514 Mn
0.013 0.013 0.986 Mn
0.250 0.250 0.250 Ta
```

Properties
energy above the most stable polymorph in this dataset: 453.5 meV per atom
D(E_F): 3.6 states/eV per cell
formation energy (no corrections): 187 kJ/mol of formula units
space-group type: C2/m (12)

Below is a relaxed SrVAg crystal, with properties calculated at the PBE-GGA level.

Geometry as POSCAR:
```
SrVAg
1.0
-2.286 -7.177 6.194
2.925 -1.420 -0.566
3.723 4.873 7.020
V Ag Sr
4 4 4
direct
0.047 0.750 0.925 V
0.453 0.250 0.425 V
0.547 0.750 0.575 V
0.953 0.250 0.075 V
0.586 0.750 0.238 Ag
0.086 0.750 0.262 Ag
0.414 0.250 0.762 Ag
0.914 0.250 0.738 Ag
0.683 0.750 0.911 Sr
0.317 0.250 0.089 Sr
0.183 0.750 0.589 Sr
0.817 0.250 0.411 Sr
```

Properties
formation energy: 0.45 eV per atom
energy above the most stable polymorph in this dataset: 56.6 meV per atom
D(E_F): 9.7 states/eV per cell
space-group type: Pnma (62)

Below is a relaxed Th8Te4Os3Se crystal, with properties calculated at the PBE-GGA level.

Geometry as POSCAR:
```
Th8Te4Os3Se
1.0
-2.025 -8.188 1.147
2.794 -1.865 -8.379
5.462 3.816 5.301
Th Te Os Se
8 4 3 1
direct
0.756 0.294 0.511 Th
0.282 0.293 0.037 Th
0.245 0.707 0.963 Th
0.718 0.707 0.963 Th
0.267 0.301 0.533 Th
0.755 0.293 0.037 Th
0.244 0.706 0.489 Th
0.733 0.699 0.467 Th
0.000 0.000 0.500 Te
0.500 0.000 0.500 Te
0.000 0.000 0.000 Te
0.500 0.000 0.000 Te
0.000 0.500 0.500 Os
0.500 0.500 0.500 Os
0.500 0.500 0.000 Os
0.000 0.500 0.000 Se
```

Properties
D(E_F): 12.2 states/eV per cell
formation energy (no corrections): -1498 kJ/mol of formula units
space-group type: C2/m (12)

Below is a relaxed CaCr2Cl crystal, with properties calculated at the PBE-GGA level.

Geometry as POSCAR:
```
CaCr2Cl
1.0
3.879 -0.001 0.010
2.545 2.927 0.010
2.215 1.009 7.483
Cr Ca Cl
2 1 1
direct
0.288 0.288 0.200 Cr
0.065 0.065 0.052 Cr
0.464 0.464 0.496 Ca
0.683 0.683 0.752 Cl
```

Properties
energy above the most stable polymorph in this dataset: 155.7 meV per atom
D(E_F): 2.0 states/eV per cell
formation energy (no corrections): 2 kJ/mol of formula units
space-group type: Cm (8)

Below is a relaxed Lu3Ag crystal, with properties calculated at the PBE-GGA level.

Geometry as POSCAR:
```
Lu3Ag
1.0
4.683 0.000 0.000
0.000 4.683 0.000
0.000 0.000 4.683
Lu Ag
3 1
direct
0.000 0.500 0.500 Lu
0.500 0.000 0.500 Lu
0.500 0.500 0.000 Lu
0.000 0.000 0.000 Ag
```

Properties
formation energy: 0.01 eV per atom
energy above the most stable polymorph in this dataset: 138.7 meV per atom
D(E_F): 6.2 states/eV per cell
space-group type: Pm-3m (221)

Below is a relaxed HoPa5P6 crystal, with properties calculated at the PBE-GGA level.

Geometry as POSCAR:
```
HoPa5P6
1.0
-3.450 3.938 4.447
0.163 -2.894 6.233
5.086 1.526 4.366
Pa P Ho
5 6 1
direct
0.500 0.835 0.331 Pa
0.000 0.333 0.334 Pa
0.500 0.500 0.000 Pa
0.000 0.667 0.666 Pa
0.500 0.165 0.669 Pa
0.750 0.416 0.667 P
0.249 0.250 0.000 P
0.751 0.750 0.000 P
0.750 0.083 0.333 P
0.250 0.917 0.667 P
0.250 0.584 0.333 P
0.000 0.000 0.000 Ho
```

Properties
formation energy: -1.37 eV per atom
D(E_F): 11.6 states/eV per cell
space-group type: C2/m (12)

Below is a relaxed HfNb2CuH crystal, with properties calculated at the PBE-GGA level.

Geometry as POSCAR:
```
HfNb2CuH
1.0
4.007 0.000 0.000
0.000 4.007 0.000
0.000 0.000 4.583
Nb Cu Hf H
2 1 1 1
direct
0.500 0.000 0.000 Nb
0.000 0.500 0.000 Nb
0.000 0.000 0.500 Cu
0.500 0.500 0.500 Hf
0.000 0.000 0.000 H
```

Properties
energy above the most stable polymorph in this dataset: 28.9 meV per atom
D(E_F): 4.1 states/eV per cell
space-group type: P4/mmm (123)

Below is a relaxed Pm2Ga2Te crystal, with properties calculated at the PBE-GGA level.

Geometry as POSCAR:
```
Pm2Ga2Te
1.0
-2.367 -3.418 1.079
2.942 1.522 2.734
-5.007 6.689 1.659
Ga Te Pm
2 1 2
direct
0.643 0.821 0.464 Ga
0.357 0.179 0.536 Ga
0.000 0.000 0.000 Te
0.829 0.415 0.244 Pm
0.171 0.585 0.756 Pm
```

Properties
D(E_F): 1.4 states/eV per cell
formation energy (no corrections): -503 kJ/mol of formula units
space-group type: R-3m (166)

Below is a relaxed Sr2TaTe crystal, with properties calculated at the PBE-GGA level.

Geometry as POSCAR:
```
Sr2TaTe
1.0
4.750 0.000 0.000
0.000 4.505 0.005
0.000 2.244 6.216
Te Sr Ta
1 2 1
direct
0.500 0.565 0.744 Te
0.000 0.975 0.925 Sr
0.500 0.274 0.326 Sr
0.000 0.685 0.505 Ta
```

Properties
energy above the most stable polymorph in this dataset: 69.5 meV per atom
D(E_F): 4.3 states/eV per cell
formation energy (no corrections): 47 kJ/mol of formula units
space-group type: Amm2 (38)

Below is a relaxed TaBeAg crystal, with properties calculated at the PBE-GGA level.

Geometry as POSCAR:
```
TaBeAg
1.0
-2.988 -2.008 0.977
1.030 -0.150 2.841
-3.348 6.522 3.167
Ag Ta Be
2 2 2
direct
0.052 0.206 0.199 Ag
0.552 0.813 0.985 Ag
0.552 0.021 0.570 Ta
0.052 0.417 0.779 Ta
0.052 0.581 0.449 Be
0.552 0.657 0.295 Be
```

Properties
formation energy: 0.10 eV per atom
energy above the most stable polymorph in this dataset: 97.7 meV per atom
D(E_F): 2.4 states/eV per cell
space-group type: Pm (6)

Below is a relaxed La2CeZn4 crystal, with properties calculated at the PBE-GGA level.

Geometry as POSCAR:
```
La2CeZn4
1.0
-3.137 -3.722 0.293
0.802 -4.076 -2.555
2.755 -8.343 4.847
Zn Ce La
4 1 2
direct
0.668 0.668 0.498 Zn
0.332 0.332 0.502 Zn
0.397 0.397 0.905 Zn
0.603 0.603 0.095 Zn
0.000 0.000 0.000 Ce
0.869 0.869 0.696 La
0.131 0.131 0.304 La
```

Properties
formation energy: -0.22 eV per atom
D(E_F): 8.5 states/eV per cell
space-group type: C2/m (12)